Crystalline YMgAgSe2S at its relaxed geometry, computed with PBE.

a b c (Å): 6.771 6.771 10.661
angles (deg): 90.00 90.00 146.64
Element x y z (fractional)
Y: 0.000 0.000 0.000
Y: 0.000 0.000 0.500
Mg: 0.247 0.753 0.750
Mg: 0.753 0.247 0.250
Ag: 0.485 0.515 0.250
Ag: 0.515 0.485 0.750
Se: 0.349 0.651 0.071
Se: 0.349 0.651 0.429
Se: 0.651 0.349 0.571
Se: 0.651 0.349 0.929
S: 0.114 0.886 0.250
S: 0.886 0.114 0.750

Values from the calculation:
- calculated volume (A^3/atom) = 22.4
- space-group type = Cmcm, No. 63
- electronic total energy (eV/atom) = -4.753

Crystalline SmMgAgS3 at its relaxed geometry, computed with PBE.

a b c (Å): 6.577 6.577 10.717
angles (deg): 90.00 90.00 146.28
Element x y z (fractional)
Sm: 0.000 0.000 0.000
Sm: 0.000 0.000 0.500
Mg: 0.235 0.765 0.750
Mg: 0.765 0.235 0.250
Ag: 0.485 0.515 0.250
Ag: 0.515 0.485 0.750
S: 0.119 0.881 0.250
S: 0.352 0.648 0.078
S: 0.352 0.648 0.422
S: 0.648 0.352 0.578
S: 0.648 0.352 0.922
S: 0.881 0.119 0.750

Values from the calculation:
- energy above the lowest structure with this stoichiometry (eV/f.u.) = 0.075
- calculated volume (A^3/atom) = 21.4
- space-group type = Cmcm, No. 63

Crystalline SmMgAgS3 at its relaxed geometry, computed with PBE.

a b c (Å): 7.475 3.863 9.109
angles (deg): 90.00 101.03 90.00
Element x y z (fractional)
Sm: 0.192 0.250 0.168
Sm: 0.808 0.750 0.832
Mg: 0.260 0.750 0.718
Mg: 0.740 0.250 0.282
Ag: 0.383 0.750 0.429
Ag: 0.617 0.250 0.571
S: 0.090 0.250 0.851
S: 0.193 0.250 0.488
S: 0.459 0.750 0.171
S: 0.541 0.250 0.829
S: 0.807 0.750 0.512
S: 0.910 0.750 0.149

Values from the calculation:
- energy above the lowest structure with this stoichiometry (eV/f.u.) = 0.000
- calculated volume (A^3/atom) = 21.5
- space-group type = P2_1/m, No. 11

Crystalline SmMgAgTe2S at its relaxed geometry, computed with PBE.

a b c (Å): 7.265 7.265 10.813
angles (deg): 90.00 90.00 146.93
Element x y z (fractional)
Sm: 0.000 0.000 0.000
Sm: 0.000 0.000 0.500
Mg: 0.275 0.725 0.750
Mg: 0.725 0.275 0.250
Ag: 0.485 0.515 0.250
Ag: 0.515 0.485 0.750
Te: 0.342 0.658 0.072
Te: 0.342 0.658 0.428
Te: 0.658 0.342 0.572
Te: 0.658 0.342 0.928
S: 0.101 0.899 0.250
S: 0.899 0.101 0.750

Values from the calculation:
- calculated volume (A^3/atom) = 26.0
- space-group type = Cmcm, No. 63
- electronic total energy (eV/atom) = -4.114

Crystalline TbMgAgTe2S at its relaxed geometry, computed with PBE.

a b c (Å): 7.255 7.255 10.670
angles (deg): 90.00 90.00 147.00
Element x y z (fractional)
Tb: 0.000 0.000 0.000
Tb: 0.000 0.000 0.500
Mg: 0.276 0.724 0.750
Mg: 0.724 0.276 0.250
Ag: 0.486 0.514 0.250
Ag: 0.514 0.486 0.750
Te: 0.344 0.656 0.069
Te: 0.344 0.656 0.431
Te: 0.656 0.344 0.569
Te: 0.656 0.344 0.931
S: 0.101 0.899 0.250
S: 0.899 0.101 0.750

Values from the calculation:
- calculated volume (A^3/atom) = 25.5
- space-group type = Cmcm, No. 63
- electronic total energy (eV/atom) = -4.094

Crystalline YMgAgTeS2 at its relaxed geometry, computed with PBE.

a b c (Å): 7.048 7.048 10.980
angles (deg): 90.00 90.00 148.13
Element x y z (fractional)
Y: 0.000 0.000 0.000
Y: 0.000 0.000 0.500
Mg: 0.195 0.805 0.750
Mg: 0.805 0.195 0.250
Ag: 0.490 0.510 0.250
Ag: 0.510 0.490 0.750
Te: 0.136 0.864 0.250
Te: 0.864 0.136 0.750
S: 0.369 0.631 0.078
S: 0.369 0.631 0.422
S: 0.631 0.369 0.578
S: 0.631 0.369 0.922

Values from the calculation:
- calculated volume (A^3/atom) = 24.0
- space-group type = Cmcm, No. 63
- electronic total energy (eV/atom) = -4.743

Crystalline TmMgAgS3 at its relaxed geometry, computed with PBE.

a b c (Å): 6.520 6.520 10.486
angles (deg): 90.00 90.00 146.67
Element x y z (fractional)
Tm: 0.000 0.000 0.000
Tm: 0.000 0.000 0.500
Mg: 0.235 0.765 0.750
Mg: 0.765 0.235 0.250
Ag: 0.482 0.518 0.250
Ag: 0.518 0.482 0.750
S: 0.120 0.880 0.250
S: 0.356 0.644 0.069
S: 0.356 0.644 0.431
S: 0.644 0.356 0.569
S: 0.644 0.356 0.931
S: 0.880 0.120 0.750

Values from the calculation:
- calculated volume (A^3/atom) = 20.4
- space-group type = Cmcm, No. 63
- electronic total energy (eV/atom) = -4.692

Crystalline YMgAgS3 at its relaxed geometry, computed with PBE.

a b c (Å): 6.534 6.534 10.618
angles (deg): 90.00 90.00 146.48
Element x y z (fractional)
Y: 0.000 0.000 0.000
Y: 0.000 0.000 0.500
Mg: 0.235 0.765 0.750
Mg: 0.765 0.235 0.250
Ag: 0.483 0.517 0.250
Ag: 0.517 0.483 0.750
S: 0.120 0.880 0.250
S: 0.354 0.646 0.073
S: 0.354 0.646 0.427
S: 0.646 0.354 0.573
S: 0.646 0.354 0.927
S: 0.880 0.120 0.750

Values from the calculation:
- calculated volume (A^3/atom) = 20.9
- space-group type = Cmcm, No. 63
- electronic total energy (eV/atom) = -5.033